Record 1
## Tb4InAg2 (PBE)

Data for a relaxed structure of Tb4InAg2.

Lattice parameters (Å, degrees): 8.7400 8.7400 8.7400 34.45 34.45 34.45
Closest atoms and distances in Å follow each position.
Positions (direct):
Tb1 0.1146 0.1146 0.1146  4 Ag 3.05-3.18, 3 In 3.25
Tb2 0.3688 0.3688 0.3688  4 Ag 3.08-3.27, 1 In 3.23
Tb3 0.6312 0.6312 0.6312  4 Ag 3.08-3.27, 1 In 3.23
Tb4 0.8854 0.8854 0.8854  4 Ag 3.05-3.18, 3 In 3.25
In1 0.5000 0.5000 0.5000  8 Tb 3.23-3.25, 6 Ag 3.54
Ag1 0.2437 0.2437 0.2437  8 Tb 3.05-3.27
Ag2 0.7563 0.7563 0.7563  8 Tb 3.05-3.27

Energy above the lowest structure with this stoichiometry ... 0.0000 eV per atom
ΔE_f ... -0.2060 eV per atom

Record 2
## TbIn6Ag (PBE)

Data for a relaxed structure of TbIn6Ag.

Lattice parameters (Å, degrees): 6.6299 6.6299 4.8244 90.00 90.00 108.77
Closest atoms and distances in Å follow each position.
Positions (direct):
Tb1 0.0000 0.0000 0.0000  12 In 3.31-3.35
In1 0.0000 0.5000 0.0000  4 In 3.11, 2 Tb 3.31, 2 Ag 3.31
In2 0.2158 0.7842 0.5000  8 In 3.11-3.45, 2 Tb 3.35
In3 0.2950 0.2950 0.5000  2 Ag 2.89, 1 In 3.17
In4 0.5000 0.0000 0.0000  4 In 3.11, 2 Tb 3.31, 2 Ag 3.31
In5 0.7050 0.7050 0.5000  2 Ag 2.89, 1 In 3.17
In6 0.7842 0.2158 0.5000  8 In 3.11-3.45, 2 Tb 3.35
Ag1 0.5000 0.5000 0.0000  4 In 2.89

ΔE_f ... -0.1453 eV per atom

Record 3
## Tb3InAg2 (PBE)

Data for a relaxed structure of Tb3InAg2.

Lattice parameters (Å, degrees): 3.6269 3.6269 11.4920 90.00 90.00 90.00
Closest atoms and distances in Å follow each position.
Positions (direct):
Tb1 0.0000 0.0000 0.0000  8 Ag 3.17
Tb2 0.0000 0.0000 0.3225  4 Ag 3.16, 4 In 3.28
Tb3 0.0000 0.0000 0.6775  4 Ag 3.16, 4 In 3.28
In1 0.5000 0.5000 0.5000  8 Tb 3.28, 4 In 3.63
Ag1 0.5000 0.5000 0.1620  8 Tb 3.16-3.17
Ag2 0.5000 0.5000 0.8380  8 Tb 3.16-3.17

ΔE_f ... -0.3707 eV per atom

Record 4
## TbIn2Ag (PBE)

Data for a relaxed structure of TbIn2Ag.

Lattice parameters (Å, degrees): 9.0893 9.0893 9.0893 149.92 149.92 43.05
Closest atoms and distances in Å follow each position.
Positions (direct):
Tb1 0.1303 0.1303 0.0000  4 Ag 3.11, 8 In 3.23-3.34
Tb2 0.8697 0.8697 0.0000  4 Ag 3.11, 8 In 3.23-3.34
In1 0.0000 0.5000 0.5000  4 Tb 3.23, 8 In 3.34-3.40
In2 0.3550 0.3550 0.0000  4 Ag 2.95
In3 0.5000 0.0000 0.5000  4 Tb 3.23, 8 In 3.34-3.40
In4 0.6450 0.6450 0.0000  4 Ag 2.95
Ag1 0.2500 0.7500 0.5000  4 In 2.95, 4 Tb 3.11
Ag2 0.7500 0.2500 0.5000  4 In 2.95, 4 Tb 3.11

ΔE_f ... -0.3869 eV per atom

Record 5
## Tb2In2Ag3 (PBE)

Data for a relaxed structure of Tb2In2Ag3.

Lattice parameters (Å, degrees): 10.8066 10.8066 3.4014 90.00 90.00 155.69
Closest atoms and distances in Å follow each position.
Positions (direct):
Tb1 0.1437 0.8563 0.0000  5 Ag 3.04-3.29, 4 In 3.16
Tb2 0.8563 0.1437 0.0000  5 Ag 3.04-3.29, 4 In 3.16
In1 0.2906 0.7094 0.5000  2 In 2.85, 1 Ag 3.04, 4 Tb 3.16
In2 0.7094 0.2906 0.5000  2 In 2.85, 1 Ag 3.04, 4 Tb 3.16
Ag1 0.0000 0.0000 0.0000  2 Tb 3.04, 8 Ag 3.16
Ag2 0.4347 0.5653 0.5000  1 Ag 2.76, 1 In 3.04
Ag3 0.5653 0.4347 0.5000  1 Ag 2.76, 1 In 3.04

ΔE_f ... -0.1834 eV per atom

Record 6
## Tb3In2Ag3 (PBE)

Data for a relaxed structure of Tb3In2Ag3.

Lattice parameters (Å, degrees): 10.5796 10.5796 10.5796 159.67 151.60 35.18
Closest atoms and distances in Å follow each position.
Positions (direct):
Tb1 0.0000 0.0000 0.0000  8 Ag 3.06-3.20
Tb2 0.3716 0.8716 0.5000  6 Ag 3.19-3.20, 4 In 3.31-3.38
Tb3 0.6284 0.1284 0.5000  6 Ag 3.19-3.20, 4 In 3.31-3.38
In1 0.2361 0.2361 0.0000  2 Ag 2.99, 4 In 3.25, 2 Tb 3.31
In2 0.7639 0.7639 0.0000  2 Ag 2.99, 4 In 3.25, 2 Tb 3.31
Ag1 0.1201 0.6201 0.5000  2 In 2.99, 6 Tb 3.06-3.20
Ag2 0.5000 0.5000 0.0000  8 Tb 3.19-3.20, 4 Ag 3.55
Ag3 0.8799 0.3799 0.5000  2 In 2.99, 6 Tb 3.06-3.20

ΔE_f ... -0.2755 eV per atom

What is the ΔE_f in the sixth record? -0.2755 eV per atom